Here is a geometry-optimized NdIn3Sn structure from the Alexandria database. Energies are from GGA-PBE.

## Properties
Energy relative to the elements, eV/atom: -0.18
E, eV per formula unit: -17.90

Geometry as CIF:
```
data_NdIn3Sn
_cell_length_a 5.218
_cell_length_b 7.370
_cell_length_c 7.307
_cell_angle_alpha 90.00
_cell_angle_beta 90.00
_cell_angle_gamma 90.00
_space_group_name_H-M_alt 'P m m n'
_space_group_IT_number 59
loop_
_space_group_symop_operation_xyz
'x,y,z'
'-x,-y,-z'
'-x+1/2,-y+1/2,z'
'x+1/2,y+1/2,-z'
'x+1/2,-y,-z'
'-x+1/2,y,z'
'-x,y+1/2,-z'
'x,-y+1/2,z'
loop_
_atom_site_label
_atom_site_type_symbol
_atom_site_fract_x
_atom_site_fract_y
_atom_site_fract_z
Nd1 Nd 0.250 0.250 0.216
In1 In 0.250 0.053 0.741
In2 In 0.250 0.750 0.468
Sn1 Sn 0.250 0.750 0.069
```